w.
VASP calculation (PBE) on a geometry-optimized Hf2CoB structure.

Output
Crystal system: cubic
Spin magnetization, μB/f.u.: 0.27

Cell: 4.3192 4.3192 4.3192 Å, 60.00 60.00 60.00°
With the nearest neighbours (Å) after each atom.
Element x y z (fractional)
Hf1 0.0000 0.0000 0.0000  4 Hf 2.64, 4 Co 2.64
Hf2 0.2500 0.2500 0.2500  4 Hf 2.64, 4 B 2.64
Co1 0.7500 0.7500 0.7500  4 B 2.64, 4 Hf 2.64
B1 0.5000 0.5000 0.5000  4 Hf 2.64, 4 Co 2.64

x.
VASP calculation (PBE) on a geometry-optimized Hf2CoB structure.

Output
Crystal system: hexagonal
Spin magnetization, μB/f.u.: 0.02

Cell: 3.3493 3.3493 12.8836 Å, 90.00 90.00 120.00°
With the nearest neighbours (Å) after each atom.
Element x y z (fractional)
Hf1 0.3333 0.6667 0.1066  3 B 2.37
Hf2 0.3333 0.6667 0.3934  3 B 2.37
Hf3 0.6667 0.3333 0.6066  3 B 2.37
Hf4 0.6667 0.3333 0.8934  3 B 2.37
Co1 0.3333 0.6667 0.7500  6 Hf 2.67
Co2 0.6667 0.3333 0.2500  6 Hf 2.67
B1 0.0000 0.0000 0.0000  6 Hf 2.37
B2 0.0000 0.0000 0.5000  6 Hf 2.37

Least stable = w

w.
VASP calculation (PBE) on a geometry-optimized HfCoBIr structure.

Output
Crystal system: cubic
Spin magnetization, μB/f.u.: 1.98

Cell: 4.2840 4.2840 4.2840 Å, 60.00 60.00 60.00°
With the nearest neighbours (Å) after each atom.
Element x y z (fractional)
Hf1 0.0000 0.0000 0.0000  4 Ir 2.62, 4 B 2.62
Co1 0.5000 0.5000 0.5000  4 B 2.62, 4 Ir 2.62
B1 0.2500 0.2500 0.2500  4 Co 2.62, 4 Hf 2.62
Ir1 0.7500 0.7500 0.7500  4 Co 2.62, 4 Hf 2.62

x.
VASP calculation (PBE) on a geometry-optimized HfCoBIr structure.

Output
Crystal system: cubic
Spin magnetization, μB/f.u.: 1.01

Cell: 4.2136 4.2136 4.2136 Å, 60.00 60.00 60.00°
With the nearest neighbours (Å) after each atom.
Element x y z (fractional)
Hf1 0.0000 0.0000 0.0000  4 Ir 2.58, 4 Co 2.58
Co1 0.7500 0.7500 0.7500  4 B 2.58, 4 Hf 2.58
B1 0.5000 0.5000 0.5000  4 Co 2.58, 4 Ir 2.58
Ir1 0.2500 0.2500 0.2500  4 B 2.58, 4 Hf 2.58

Least stable = w

w.
VASP calculation (PBE) on a geometry-optimized LiHfCoB structure.

Output
Crystal system: cubic
Spin magnetization, μB/f.u.: 0.44

Cell: 4.0250 4.0250 4.0250 Å, 60.00 60.00 60.00°
With the nearest neighbours (Å) after each atom.
Element x y z (fractional)
Li1 0.0000 0.0000 0.0000  4 Hf 2.46, 4 B 2.46
Hf1 0.7500 0.7500 0.7500  4 Co 2.46, 4 Li 2.46
Co1 0.5000 0.5000 0.5000  4 Hf 2.46, 4 B 2.46
B1 0.2500 0.2500 0.2500  4 Co 2.46, 4 Li 2.46

x.
VASP calculation (PBE) on a geometry-optimized LiHfCoB structure.

Output
Crystal system: cubic
Spin magnetization, μB/f.u.: 0.02

Cell: 3.9963 3.9963 3.9963 Å, 60.00 60.00 60.00°
With the nearest neighbours (Å) after each atom.
Element x y z (fractional)
Li1 0.0000 0.0000 0.0000  4 Co 2.45, 4 Hf 2.45
Hf1 0.2500 0.2500 0.2500  4 Li 2.45, 4 B 2.45
Co1 0.7500 0.7500 0.7500  4 Li 2.45, 4 B 2.45
B1 0.5000 0.5000 0.5000  4 Hf 2.45, 4 Co 2.45

Least stable = w

w.
VASP calculation (PBE) on a geometry-optimized HfCoNiB structure.

Output
Crystal system: cubic
Spin magnetization, μB/f.u.: 1.06

Cell: 4.0798 4.0798 4.0798 Å, 60.00 60.00 60.00°
With the nearest neighbours (Å) after each atom.
Element x y z (fractional)
Hf1 0.0000 0.0000 0.0000  4 Ni 2.50, 4 B 2.50
Co1 0.5000 0.5000 0.5000  4 Ni 2.50, 4 B 2.50
Ni1 0.7500 0.7500 0.7500  4 Hf 2.50, 4 Co 2.50
B1 0.2500 0.2500 0.2500  4 Hf 2.50, 4 Co 2.50

x.
VASP calculation (PBE) on a geometry-optimized HfCoNiB structure.

Output
Crystal system: cubic
Spin magnetization, μB/f.u.: 1.33

Cell: 4.0942 4.0942 4.0942 Å, 60.00 60.00 60.00°
With the nearest neighbours (Å) after each atom.
Element x y z (fractional)
Hf1 0.0000 0.0000 0.0000  4 Co 2.51, 4 B 2.51
Co1 0.7500 0.7500 0.7500  4 Hf 2.51, 4 Ni 2.51
Ni1 0.5000 0.5000 0.5000  4 Co 2.51, 4 B 2.51
B1 0.2500 0.2500 0.2500  4 Hf 2.51, 4 Ni 2.51

Least stable = x

w.
VASP calculation (PBE) on a geometry-optimized HfCoBOs structure.

Output
Crystal system: cubic
Spin magnetization, μB/f.u.: 0.00

Cell: 4.1903 4.1903 4.1903 Å, 60.00 60.00 60.00°
With the nearest neighbours (Å) after each atom.
Element x y z (fractional)
Hf1 0.0000 0.0000 0.0000  4 Co 2.57, 4 Os 2.57
Co1 0.7500 0.7500 0.7500  4 Hf 2.57, 4 B 2.57
B1 0.5000 0.5000 0.5000  4 Co 2.57, 4 Os 2.57
Os1 0.2500 0.2500 0.2500  4 Hf 2.57, 4 B 2.57

x.
VASP calculation (PBE) on a geometry-optimized HfCoBOs structure.

Output
Crystal system: cubic
Spin magnetization, μB/f.u.: 2.64

Cell: 4.2739 4.2739 4.2739 Å, 60.00 60.00 60.00°
With the nearest neighbours (Å) after each atom.
Element x y z (fractional)
Hf1 0.0000 0.0000 0.0000  4 Os 2.62, 4 B 2.62
Co1 0.5000 0.5000 0.5000  4 Os 2.62, 4 B 2.62
B1 0.2500 0.2500 0.2500  4 Hf 2.62, 4 Co 2.62
Os1 0.7500 0.7500 0.7500  4 Co 2.62, 4 Hf 2.62

Least stable = x

w.
VASP calculation (PBE) on a geometry-optimized CoHgB4 structure.

Output
Crystal system: orthorhombic
Spin magnetization, μB/f.u.: 1.89

Cell: 4.8585 4.8585 4.8585 Å, 144.13 115.54 76.02°
With the nearest neighbours (Å) after each atom.
Element x y z (fractional)
Co1 0.0000 0.0000 0.0000  12 B 2.48-2.68
Hg1 0.5000 0.5000 0.0000  12 B 2.48-2.68
B1 0.0665 0.7323 0.3342  3 B 1.72-1.75
B2 0.3981 0.7323 0.6658  3 B 1.72-1.75
B3 0.6019 0.2677 0.3342  3 B 1.72-1.75
B4 0.9335 0.2677 0.6658  3 B 1.72-1.75

x.
VASP calculation (PBE) on a geometry-optimized CoHgB4 structure.

Output
Crystal system: hexagonal
Spin magnetization, μB/f.u.: 0.08

Cell: 2.9585 2.9585 9.0821 Å, 90.00 90.00 120.00°
With the nearest neighbours (Å) after each atom.
Element x y z (fractional)
Co1 0.0000 0.0000 0.0000  12 B 2.22
Hg1 0.0000 0.0000 0.5000  6 Hg 2.96
B1 0.3333 0.6667 0.1561  3 B 1.71
B2 0.3333 0.6667 0.8439  3 B 1.71
B3 0.6667 0.3333 0.1561  3 B 1.71
B4 0.6667 0.3333 0.8439  3 B 1.71

Least stable = w

w.
VASP calculation (PBE) on a geometry-optimized LuCoHgB structure.

Output
Crystal system: cubic
Spin magnetization, μB/f.u.: 1.20

Cell: 4.4875 4.4875 4.4875 Å, 60.00 60.00 60.00°
With the nearest neighbours (Å) after each atom.
Element x y z (fractional)
Lu1 0.0000 0.0000 0.0000  4 Co 2.75, 4 Hg 2.75
Co1 0.7500 0.7500 0.7500  4 B 2.75, 4 Lu 2.75
Hg1 0.2500 0.2500 0.2500  4 B 2.75, 4 Lu 2.75
B1 0.5000 0.5000 0.5000  4 Co 2.75, 4 Hg 2.75

x.
VASP calculation (PBE) on a geometry-optimized LuCoHgB structure.

Output
Crystal system: cubic
Spin magnetization, μB/f.u.: 0.01

Cell: 4.4598 4.4598 4.4598 Å, 60.00 60.00 60.00°
With the nearest neighbours (Å) after each atom.
Element x y z (fractional)
Lu1 0.0000 0.0000 0.0000  4 Hg 2.73, 4 B 2.73
Co1 0.5000 0.5000 0.5000  4 Hg 2.73, 4 B 2.73
Hg1 0.7500 0.7500 0.7500  4 Co 2.73, 4 Lu 2.73
B1 0.2500 0.2500 0.2500  4 Co 2.73, 4 Lu 2.73

Least stable = w

w.
VASP calculation (PBE) on a geometry-optimized CoHgBMo structure.

Output
Crystal system: cubic
Spin magnetization, μB/f.u.: 0.51

Cell: 4.2814 4.2814 4.2814 Å, 60.00 60.00 60.00°
With the nearest neighbours (Å) after each atom.
Element x y z (fractional)
Co1 0.0000 0.0000 0.0000  4 B 2.62, 4 Mo 2.62
Hg1 0.5000 0.5000 0.5000  4 Mo 2.62, 4 B 2.62
B1 0.7500 0.7500 0.7500  4 Hg 2.62, 4 Co 2.62
Mo1 0.2500 0.2500 0.2500  4 Hg 2.62, 4 Co 2.62

x.
VASP calculation (PBE) on a geometry-optimized CoHgBMo structure.

Output
Crystal system: cubic
Spin magnetization, μB/f.u.: 1.18

Cell: 4.2442 4.2442 4.2442 Å, 60.00 60.00 60.00°
With the nearest neighbours (Å) after each atom.
Element x y z (fractional)
Co1 0.0000 0.0000 0.0000  4 B 2.60, 4 Hg 2.60
Hg1 0.2500 0.2500 0.2500  4 Mo 2.60, 4 Co 2.60
B1 0.7500 0.7500 0.7500  4 Mo 2.60, 4 Co 2.60
Mo1 0.5000 0.5000 0.5000  4 B 2.60, 4 Hg 2.60

Least stable = w

w.
VASP calculation (PBE) on a geometry-optimized NbCoHgB structure.

Output
Crystal system: cubic
Spin magnetization, μB/f.u.: 0.02

Cell: 4.3407 4.3407 4.3407 Å, 60.00 60.00 60.00°
With the nearest neighbours (Å) after each atom.
Element x y z (fractional)
Nb1 0.0000 0.0000 0.0000  4 Co 2.66, 4 Hg 2.66
Co1 0.7500 0.7500 0.7500  4 Nb 2.66, 4 B 2.66
Hg1 0.2500 0.2500 0.2500  4 B 2.66, 4 Nb 2.66
B1 0.5000 0.5000 0.5000  4 Co 2.66, 4 Hg 2.66

x.
VASP calculation (PBE) on a geometry-optimized NbCoHgB structure.

Output
Crystal system: cubic
Spin magnetization, μB/f.u.: 0.01

Cell: 4.3244 4.3244 4.3244 Å, 60.00 60.00 60.00°
With the nearest neighbours (Å) after each atom.
Element x y z (fractional)
Nb1 0.0000 0.0000 0.0000  4 Hg 2.65, 4 B 2.65
Co1 0.5000 0.5000 0.5000  4 Hg 2.65, 4 B 2.65
Hg1 0.7500 0.7500 0.7500  4 Nb 2.65, 4 Co 2.65
B1 0.2500 0.2500 0.2500  4 Co 2.65, 4 Nb 2.65

Least stable = w

w.
VASP calculation (PBE) on a geometry-optimized ZnCoHgB structure.

Output
Crystal system: cubic
Spin magnetization, μB/f.u.: 0.78

Cell: 4.2493 4.2493 4.2493 Å, 60.00 60.00 60.00°
With the nearest neighbours (Å) after each atom.
Element x y z (fractional)
Zn1 0.0000 0.0000 0.0000  4 Hg 2.60, 4 B 2.60
Co1 0.5000 0.5000 0.5000  4 Hg 2.60, 4 B 2.60
Hg1 0.7500 0.7500 0.7500  4 Co 2.60, 4 Zn 2.60
B1 0.2500 0.2500 0.2500  4 Co 2.60, 4 Zn 2.60

x.
VASP calculation (PBE) on a geometry-optimized ZnCoHgB structure.

Output
Crystal system: cubic
Spin magnetization, μB/f.u.: 0.88

Cell: 4.1876 4.1876 4.1876 Å, 60.00 60.00 60.00°
With the nearest neighbours (Å) after each atom.
Element x y z (fractional)
Zn1 0.0000 0.0000 0.0000  4 Hg 2.56, 4 Co 2.56
Co1 0.7500 0.7500 0.7500  4 B 2.56, 4 Zn 2.56
Hg1 0.2500 0.2500 0.2500  4 B 2.56, 4 Zn 2.56
B1 0.5000 0.5000 0.5000  4 Hg 2.56, 4 Co 2.56

Least stable = w

w.
VASP calculation (PBE) on a geometry-optimized ZrCoHgB structure.

Output
Crystal system: cubic
Spin magnetization, μB/f.u.: 0.21

Cell: 4.4159 4.4159 4.4159 Å, 60.00 60.00 60.00°
With the nearest neighbours (Å) after each atom.
Element x y z (fractional)
Zr1 0.0000 0.0000 0.0000  4 Hg 2.70, 4 Co 2.70
Co1 0.7500 0.7500 0.7500  4 Zr 2.70, 4 B 2.70
Hg1 0.2500 0.2500 0.2500  4 B 2.70, 4 Zr 2.70
B1 0.5000 0.5000 0.5000  4 Co 2.70, 4 Hg 2.70

x.
VASP calculation (PBE) on a geometry-optimized ZrCoHgB structure.

Output
Crystal system: cubic
Spin magnetization, μB/f.u.: 0.36

Cell: 4.4039 4.4039 4.4039 Å, 60.00 60.00 60.00°
With the nearest neighbours (Å) after each atom.
Element x y z (fractional)
Zr1 0.0000 0.0000 0.0000  4 Hg 2.70, 4 B 2.70
Co1 0.5000 0.5000 0.5000  4 Hg 2.70, 4 B 2.70
Hg1 0.7500 0.7500 0.7500  4 Zr 2.70, 4 Co 2.70
B1 0.2500 0.2500 0.2500  4 Zr 2.70, 4 Co 2.70

Least stable = w

w.
VASP calculation (PBE) on a geometry-optimized HoCoB4 structure.

Output
Crystal system: orthorhombic
Spin magnetization, μB/f.u.: 1.15

Cell: 4.7020 4.7020 4.7020 Å, 141.01 111.66 81.59°
With the nearest neighbours (Å) after each atom.
Element x y z (fractional)
Ho1 0.0000 0.0000 0.0000  12 B 2.50-2.53
Co1 0.5000 0.5000 0.0000  12 B 2.50-2.53
B1 0.0833 0.7504 0.3330  3 B 1.76-1.80
B2 0.4174 0.7504 0.6670  3 B 1.76-1.80
B3 0.5826 0.2496 0.3330  3 B 1.76-1.80
B4 0.9167 0.2496 0.6670  3 B 1.76-1.80

x.
VASP calculation (PBE) on a geometry-optimized HoCoB4 structure.

Output
Crystal system: hexagonal
Spin magnetization, μB/f.u.: 0.00

Cell: 3.1534 3.1534 6.4493 Å, 90.00 90.00 120.00°
With the nearest neighbours (Å) after each atom.
Element x y z (fractional)
Ho1 0.0000 0.0000 0.0000  12 B 2.65
Co1 0.0000 0.0000 0.5000  12 B 2.24
B1 0.3333 0.6667 0.2988  3 B 1.82
B2 0.3333 0.6667 0.7012  3 B 1.82
B3 0.6667 0.3333 0.2988  3 B 1.82
B4 0.6667 0.3333 0.7012  3 B 1.82

Least stable = w

w.
VASP calculation (PBE) on a geometry-optimized HoCoB structure.

Output
Crystal system: cubic
Spin magnetization, μB/f.u.: 0.56

Cell: 4.2169 4.2169 4.2169 Å, 60.00 60.00 60.00°
With the nearest neighbours (Å) after each atom.
Element x y z (fractional)
Ho1 0.0000 0.0000 0.0000  4 Co 2.58, 4 B 2.58
Co1 0.2500 0.2500 0.2500  4 Ho 2.58
B1 0.7500 0.7500 0.7500  4 Ho 2.58

x.
VASP calculation (PBE) on a geometry-optimized HoCoB structure.

Output
Crystal system: cubic
Spin magnetization, μB/f.u.: 1.41

Cell: 4.0207 4.0207 4.0207 Å, 60.00 60.00 60.00°
With the nearest neighbours (Å) after each atom.
Element x y z (fractional)
Ho1 0.0000 0.0000 0.0000  4 B 2.46
Co1 0.5000 0.5000 0.5000  4 B 2.46
B1 0.2500 0.2500 0.2500  4 Co 2.46, 4 Ho 2.46

Least stable = w

w.
VASP calculation (PBE) on a geometry-optimized CoB4Ir structure.

Output
Crystal system: orthorhombic
Spin magnetization, μB/f.u.: 0.15

Cell: 4.3511 4.3511 4.3511 Å, 139.27 105.02 89.03°
With the nearest neighbours (Å) after each atom.
Element x y z (fractional)
Co1 0.0000 0.0000 0.0000  12 B 2.29-2.41
B1 0.0739 0.7381 0.3358  3 B 1.74-1.77
B2 0.4022 0.7381 0.6642  3 B 1.74-1.77
B3 0.5978 0.2619 0.3358  3 B 1.74-1.77
B4 0.9261 0.2619 0.6642  3 B 1.74-1.77
Ir1 0.5000 0.5000 0.0000  12 B 2.31-2.39

x.
VASP calculation (PBE) on a geometry-optimized CoB4Ir structure.

Output
Crystal system: hexagonal
Spin magnetization, μB/f.u.: 0.03

Cell: 3.0362 3.0362 6.1863 Å, 90.00 90.00 120.00°
With the nearest neighbours (Å) after each atom.
Element x y z (fractional)
Co1 0.0000 0.0000 0.0000  12 B 2.25
B1 0.3333 0.6667 0.2292  3 B 1.75
B2 0.3333 0.6667 0.7708  3 B 1.75
B3 0.6667 0.3333 0.2292  3 B 1.75
B4 0.6667 0.3333 0.7708  3 B 1.75
Ir1 0.0000 0.0000 0.5000  12 B 2.42

Least stable = x

w.
VASP calculation (PBE) on a geometry-optimized CoNiBIr structure.

Output
Crystal system: cubic
Spin magnetization, μB/f.u.: 1.53

Cell: 3.9755 3.9755 3.9755 Å, 60.00 60.00 60.00°
With the nearest neighbours (Å) after each atom.
Element x y z (fractional)
Co1 0.0000 0.0000 0.0000  4 Ir 2.43, 4 B 2.43
Ni1 0.5000 0.5000 0.5000  4 B 2.43, 4 Ir 2.43
B1 0.7500 0.7500 0.7500  4 Ni 2.43, 4 Co 2.43
Ir1 0.2500 0.2500 0.2500  4 Ni 2.43, 4 Co 2.43

x.
VASP calculation (PBE) on a geometry-optimized CoNiBIr structure.

Output
Crystal system: cubic
Spin magnetization, μB/f.u.: 2.01

Cell: 3.9208 3.9208 3.9208 Å, 60.00 60.00 60.00°
With the nearest neighbours (Å) after each atom.
Element x y z (fractional)
Co1 0.0000 0.0000 0.0000  4 Ni 2.40, 4 B 2.40
Ni1 0.2500 0.2500 0.2500  4 Co 2.40, 4 Ir 2.40
B1 0.7500 0.7500 0.7500  4 Co 2.40, 4 Ir 2.40
Ir1 0.5000 0.5000 0.5000  4 Ni 2.40, 4 B 2.40

Least stable = w